No. 1
DFT (PBE-GGA) results for a geometry-optimized ReSi2Ag structure.

Final energy: -24.86 eV for the cell shown
Formation energy (no corrections): 0.32 eV/atom
SG: No. 65
ΔE to the lowest computed polymorph: 233 meV per atom

```
ReSi2Ag
1.0
2.8708 -0.0159 0.0000
-1.2688 2.5753 0.0000
0.0000 0.0000 8.6332
Re Ag Si
1 1 2
Cartesian
0.8010 1.2797 6.4749
0.8010 1.2797 2.1583
0.0000 0.0000 8.4072
0.0000 0.0000 4.5426
```

***

No. 2
DFT (PBE-GGA) results for a geometry-optimized ReSi2Ag structure.

Final energy: -24.84 eV for the cell shown
Formation energy (no corrections): 0.33 eV/atom
SG: No. 10
ΔE to the lowest computed polymorph: 236 meV per atom

```
ReSi2Ag
1.0
2.9128 0.0000 0.0000
0.0000 5.1068 -0.0135
0.0000 3.4569 3.9839
Re Si Ag
1 2 1
Cartesian
0.0000 1.7284 1.9919
0.0000 0.0000 0.0000
1.4564 2.5534 -0.0068
1.4564 4.2818 1.9852
```

***

No. 3
DFT (PBE-GGA) results for a geometry-optimized ReSiAg2 structure.

Final energy: -21.97 eV for the cell shown
Formation energy (no corrections): 0.40 eV/atom
SG: No. 8

```
ReSiAg2
1.0
4.9533 0.0245 0.1055
4.1504 2.7037 0.1055
1.8179 0.5448 4.8626
Re Ag Si
1 2 1
Cartesian
5.4637 1.6374 3.0112
2.6586 0.7967 1.0445
0.2624 0.0786 0.2626
7.9976 2.3968 3.2923
```